{
  "formula": "NaMgAs2Br",
  "functional": "PBE",
  "state": "optimized geometry",
  "cell": [[-4.207, -0.880, 2.804], [2.236, -4.135, 2.058], [1.990, 3.037, 3.940]],
  "species": ["As", "Mg", "Na", "As", "Br"],
  "fractional_positions": [[0.000, 0.500, 0.000], [0.500, 0.500, 0.500], [0.000, 0.000, 0.000], [0.500, 0.000, 0.000], [0.000, 0.000, 0.500]],
  "raw_formation_energy_ev_per_atom": 0.514,
  "relative_energy_mev_per_atom": 578,
  "dos_at_fermi_per_ev_atom": 0.84,
  "density_g_cm3": 3.26,
  "total_magnetization_mub_per_cell": 1.2,
  "spacegroup": "P4/mmm, No. 123"
}